Record 1
# NbPb2F6 | Alexandria | PBE | relaxed
# SG: P4_2/mnm, No. 136
# Fermi-level density of states: 0.003 states/eV/atom
# Calculated volume: 343.25 Å³ per cell
# Total energy: -5.405 eV per atom
# Energy relative to the elements, uncorrected: -2.21 eV/atom
data_NbPb2F6
_chemical_formula_sum 'Nb2 Pb4 F12'
_symmetry_space_group_name_H-M 'P 1'
_symmetry_Int_Tables_number 1
_cell_length_a 6.050
_cell_length_b 6.050
_cell_length_c 9.377
_cell_angle_alpha 90.00
_cell_angle_beta 90.00
_cell_angle_gamma 90.00
loop_
_symmetry_equiv_pos_as_xyz
'x,y,z'
loop_
_atom_site_label
_atom_site_type_symbol
_atom_site_fract_x
_atom_site_fract_y
_atom_site_fract_z
Nb1 Nb 0.000 0.000 0.000
Nb2 Nb 0.500 0.500 0.500
Pb1 Pb 0.000 0.000 0.329
Pb2 Pb 0.000 0.000 0.671
Pb3 Pb 0.500 0.500 0.171
Pb4 Pb 0.500 0.500 0.829
F1 F 0.209 0.209 0.134
F2 F 0.209 0.209 0.866
F3 F 0.239 0.761 0.000
F4 F 0.261 0.261 0.500
F5 F 0.291 0.709 0.366
F6 F 0.291 0.709 0.634
F7 F 0.709 0.291 0.366
F8 F 0.709 0.291 0.634
F9 F 0.739 0.739 0.500
F10 F 0.761 0.239 0.000
F11 F 0.791 0.791 0.134
F12 F 0.791 0.791 0.866

=====

Record 2
# MnBr | Alexandria | PBE | relaxed
# SG: P6/mmm, No. 191
# Fermi-level density of states: 0.307 states/eV/atom
# Calculated volume: 54.97 Å³ per cell
# Total energy: -5.128 eV per atom
# Energy relative to the elements, uncorrected: 0.29 eV/atom
data_MnBr
_chemical_formula_sum 'Mn1 Br1'
_symmetry_space_group_name_H-M 'P 1'
_symmetry_Int_Tables_number 1
_cell_length_a 3.611
_cell_length_b 3.611
_cell_length_c 4.867
_cell_angle_alpha 90.00
_cell_angle_beta 90.00
_cell_angle_gamma 120.00
loop_
_symmetry_equiv_pos_as_xyz
'x,y,z'
loop_
_atom_site_label
_atom_site_type_symbol
_atom_site_fract_x
_atom_site_fract_y
_atom_site_fract_z
Mn1 Mn 0.000 0.000 0.000
Br1 Br 0.000 0.000 0.500

=====

Record 3
# CsAl3Pt | Alexandria | PBE | relaxed
# SG: Pm-3m, No. 221
# Fermi-level density of states: 0.144 states/eV/atom
# Calculated volume: 121.85 Å³ per cell
# Total energy: -3.741 eV per atom
# Relative energy among the computed polymorphs: 0.0000 eV per atom
# Formation energy: -117 meV/atom
data_CsAl3Pt
_chemical_formula_sum 'Cs1 Al3 Pt1'
_symmetry_space_group_name_H-M 'P 1'
_symmetry_Int_Tables_number 1
_cell_length_a 4.958
_cell_length_b 4.958
_cell_length_c 4.958
_cell_angle_alpha 90.00
_cell_angle_beta 90.00
_cell_angle_gamma 90.00
loop_
_symmetry_equiv_pos_as_xyz
'x,y,z'
loop_
_atom_site_label
_atom_site_type_symbol
_atom_site_fract_x
_atom_site_fract_y
_atom_site_fract_z
Cs1 Cs 0.000 0.000 0.000
Al1 Al 0.000 0.500 0.500
Al2 Al 0.500 0.000 0.500
Al3 Al 0.500 0.500 0.000
Pt1 Pt 0.500 0.500 0.500